(1)
A geometry-optimized SrBePdO5 structure, computed with PBE.

a b c (Å): 6.6244 9.1934 7.1823
angles (deg): 90.00 116.06 90.00
Space group C2/c (No. 15)
Unique sites:
Sr 0.0000 0.1583 0.2500
Be 0.0000 0.2062 0.7500
Pd 0.0000 0.5000 0.0000
O 0.0000 0.4222 0.2500
O 0.0946 0.2962 0.6129
O 0.1795 0.0794 0.9076

Results
* calculated total energy: -5.77 eV/atom
* formation energy from raw total energies: -1.35 eV per atom
* M_tot: 2.0 μB per formula unit



(2)
A geometry-optimized TaBePd2O structure, computed with PBE.

a b c (Å): 4.8021 4.8021 4.5965
angles (deg): 90.00 90.00 90.00
Space group P4/mmm (No. 123)
Unique sites:
Ta 0.0000 0.0000 0.0000
Be 0.0000 0.0000 0.5000
Pd 0.0000 0.5000 0.0000
O 0.5000 0.5000 0.5000

Results
* calculated total energy: -4.49 eV/atom
* formation energy from raw total energies: 1.69 eV per atom
* M_tot: 0.0 μB per formula unit



(3)
A geometry-optimized Tb2BePdO6 structure, computed with PBE.

a b c (Å): 5.2690 5.5903 9.0119
angles (deg): 90.00 125.14 90.00
Space group P2_1/c (No. 14)
Unique sites:
Tb 0.2337 0.0740 0.2503
Be 0.5000 0.0000 0.0000
Pd 0.0000 0.0000 0.5000
O 0.1517 0.1915 0.9516
O 0.2616 0.7060 0.9476
O 0.3645 0.0275 0.7662

Results
* calculated total energy: -7.12 eV/atom
* formation energy from raw total energies: -2.33 eV per atom
* M_tot: 0.0 μB per formula unit



(4)
A geometry-optimized BeTe2PdO structure, computed with PBE.

a b c (Å): 4.7792 4.7792 4.2213
angles (deg): 90.00 90.00 90.00
Space group P4/mmm (No. 123)
Unique sites:
Be 0.0000 0.0000 0.0000
Te 0.0000 0.5000 0.5000
Pd 0.5000 0.5000 0.0000
O 0.5000 0.5000 0.5000

Results
* calculated total energy: -3.54 eV/atom
* formation energy from raw total energies: 0.49 eV per atom
* M_tot: 0.0 μB per formula unit



(5)
A geometry-optimized Be2Tl3PdO6 structure, computed with PBE.

a b c (Å): 5.5995 5.5995 6.1098
angles (deg): 90.00 90.00 120.00
Space group P-3m1 (No. 164)
Unique sites:
Be 0.3333 0.6667 0.2745
Tl 0.0000 0.0000 0.0000
Tl 0.3333 0.6667 0.7627
Pd 0.0000 0.0000 0.5000
O 0.1703 0.3407 0.2690

Results
* calculated total energy: -5.14 eV/atom
* formation energy from raw total energies: -1.02 eV per atom
* M_tot: 0.9 μB per formula unit



(6)
A geometry-optimized Pm3BeO structure, computed with PBE.

a b c (Å): 4.8456 4.8456 4.8456
angles (deg): 90.00 90.00 90.00
Space group Pm-3m (No. 221)
Unique sites:
Pm 0.0000 0.0000 0.5000
Be 0.5000 0.5000 0.5000
O 0.0000 0.0000 0.0000

Results
* calculated total energy: -5.57 eV/atom
* formation energy from raw total energies: -0.98 eV per atom
* M_tot: 0.0 μB per formula unit



(7)
A geometry-optimized Pm2BeO4 structure, computed with PBE.

a b c (Å): 5.1823 5.3197 6.6831
angles (deg): 90.00 108.91 90.00
Space group P2_1/m (No. 11)
Unique sites:
Pm 0.2065 0.2500 0.0397
Pm 0.2796 0.2500 0.5701
Be 0.2318 0.7500 0.7940
O 0.0252 0.5127 0.7378
O 0.3941 0.7500 0.0583
O 0.4360 0.7500 0.6457

Results
* calculated total energy: -7.85 eV/atom
* formation energy from raw total energies: -3.12 eV per atom
* M_tot: 0.0 μB per formula unit



(8)
A geometry-optimized PmBeO structure, computed with PBE.

a b c (Å): 20.3106 3.2054 3.2271
angles (deg): 90.00 90.00 90.00
Space group C2/m (No. 12)
Unique sites:
Pm 0.1111 0.0000 0.2482
Be 0.2500 0.0000 0.7500
O 0.0812 0.5000 0.7481

Results
* calculated total energy: -5.91 eV/atom
* formation energy from raw total energies: -1.43 eV per atom
* M_tot: 0.0 μB per formula unit



(9)
A geometry-optimized Pm3Be2O6 structure, computed with PBE.

a b c (Å): 3.6285 3.6285 19.1647
angles (deg): 90.00 90.00 90.00
Space group I4/mmm (No. 139)
Unique sites:
Pm 0.0000 0.0000 0.0000
Pm 0.0000 0.0000 0.1754
Be 0.0000 0.0000 0.3963
O 0.0000 0.0000 0.3016
O 0.0000 0.5000 0.0916

Results
* calculated total energy: -7.55 eV/atom
* formation energy from raw total energies: -2.87 eV per atom
* M_tot: 0.0 μB per formula unit



(10)
A geometry-optimized PmBe2PtO8 structure, computed with PBE.

a b c (Å): 5.2235 5.2235 6.4995
angles (deg): 90.00 90.00 120.00
Space group P-3m1 (No. 164)
Unique sites:
Pm 0.0000 0.0000 0.0000
Be 0.3333 0.6667 0.2518
Pt 0.0000 0.0000 0.5000
O 0.1628 0.3255 0.3032
O 0.3333 0.6667 0.9984

Results
* calculated total energy: -6.08 eV/atom
* formation energy from raw total energies: -1.26 eV per atom
* M_tot: 5.0 μB per formula unit



(11)
A geometry-optimized PmBePtO4 structure, computed with PBE.

a b c (Å): 5.8735 8.6557 6.8512
angles (deg): 90.00 90.00 90.00
Space group Cmcm (No. 63)
Unique sites:
Pm 0.0000 0.0000 0.0000
Be 0.0000 0.3779 0.2500
Pt 0.0000 0.3012 0.7500
O 0.0000 0.2752 0.0414
O 0.2255 0.4905 0.2500

Results
* calculated total energy: -6.69 eV/atom
* formation energy from raw total energies: -1.78 eV per atom
* M_tot: 1.2 μB per formula unit



(12)
A geometry-optimized PmPuBeO6 structure, computed with PBE.

a b c (Å): 5.0760 5.0760 5.1878
angles (deg): 90.00 90.00 120.00
Space group P312 (No. 149)
Unique sites:
Pm 0.0000 0.0000 0.0000
Pu 0.3333 0.6667 0.5000
Be 0.6667 0.3333 0.5000
O 0.3704 0.0162 0.7101

Results
* calculated total energy: -8.39 eV/atom
* formation energy from raw total energies: -2.55 eV per atom
* M_tot: 1.0 μB per formula unit